Here is an optimized crystal structure of Zr7BiTe2H2 from Alexandria via LeMat-Bulk. Energies are from PBE.

a = 4.292 Å, b = 4.292 Å, c = 12.940 Å
α = 80.44°, β = 80.44°, γ = 90.02°
Fractional positions:
Te (0.817, 0.817, 0.366)
Te (0.183, 0.183, 0.634)
Zr (0.298, 0.298, 0.403)
Zr (0.401, 0.901, 0.197)
Zr (0.099, 0.599, 0.803)
Zr (0.702, 0.702, 0.597)
Zr (0.599, 0.099, 0.803)
Zr (0.500, 0.500, 0.000)
Zr (0.901, 0.401, 0.197)
Bi (0.000, 0.000, 0.000)
H (0.415, 0.415, 0.170)
H (0.585, 0.585, 0.830)

Summary:
- V (Å³/atom) = 19.3
- total magnetic moment (μB per formula unit) = 0.0
- ρ (g/cm³) = 7.9
- Fermi-level density of states (states/eV/cell) = 7.53
- energy (eV/atom) = -6.87